Model a:
Here is NiHgBW after structural relaxation from OQMD via LeMat-Bulk. Energies are from PBE.

Lattice parameters (Å, degrees): 5.976 5.976 5.976 90.00 90.00 90.00
Positions (direct):
Ni1 0.000 0.000 0.000
Ni2 0.000 0.500 0.500
Ni3 0.500 0.000 0.500
Ni4 0.500 0.500 0.000
Hg1 0.250 0.250 0.750
Hg2 0.250 0.750 0.250
Hg3 0.750 0.250 0.250
Hg4 0.750 0.750 0.750
B1 0.000 0.000 0.500
B2 0.000 0.500 0.000
B3 0.500 0.000 0.000
B4 0.500 0.500 0.500
W1 0.250 0.250 0.250
W2 0.250 0.750 0.750
W3 0.750 0.250 0.750
W4 0.750 0.750 0.250

Values from the calculation:
Calculated volume = 13.3 Å³/atom
Space-group type = F-43m

Model b:
Here is NiHgBW after structural relaxation from OQMD via LeMat-Bulk. Energies are from PBE.

Lattice parameters (Å, degrees): 6.122 6.122 6.122 90.00 90.00 90.00
Positions (direct):
Ni1 0.000 0.000 0.000
Ni2 0.000 0.500 0.500
Ni3 0.500 0.000 0.500
Ni4 0.500 0.500 0.000
Hg1 0.000 0.000 0.500
Hg2 0.000 0.500 0.000
Hg3 0.500 0.000 0.000
Hg4 0.500 0.500 0.500
B1 0.250 0.250 0.750
B2 0.250 0.750 0.250
B3 0.750 0.250 0.250
B4 0.750 0.750 0.750
W1 0.250 0.250 0.250
W2 0.250 0.750 0.750
W3 0.750 0.250 0.750
W4 0.750 0.750 0.250

Values from the calculation:
Calculated volume = 14.3 Å³/atom
Space-group type = F-43m

Relative energy of each structure, in eV/atom: model a 0.000; model b 0.546.

Model a:
Here is ZrNiHgB after structural relaxation from OQMD via LeMat-Bulk. Energies are from PBE.

Lattice parameters (Å, degrees): 6.182 6.182 6.182 90.00 90.00 90.00
Positions (direct):
Zr1 0.000 0.000 0.000
Zr2 0.000 0.500 0.500
Zr3 0.500 0.000 0.500
Zr4 0.500 0.500 0.000
Ni1 0.250 0.250 0.250
Ni2 0.250 0.750 0.750
Ni3 0.750 0.250 0.750
Ni4 0.750 0.750 0.250
Hg1 0.000 0.000 0.500
Hg2 0.000 0.500 0.000
Hg3 0.500 0.000 0.000
Hg4 0.500 0.500 0.500
B1 0.250 0.250 0.750
B2 0.250 0.750 0.250
B3 0.750 0.250 0.250
B4 0.750 0.750 0.750

Values from the calculation:
Calculated volume = 14.8 Å³/atom
Space-group type = F-43m

Model b:
Here is ZrNiHgB after structural relaxation from OQMD via LeMat-Bulk. Energies are from PBE.

Lattice parameters (Å, degrees): 6.303 6.303 6.303 90.00 90.00 90.00
Positions (direct):
Zr1 0.000 0.000 0.000
Zr2 0.000 0.500 0.500
Zr3 0.500 0.000 0.500
Zr4 0.500 0.500 0.000
Ni1 0.250 0.250 0.750
Ni2 0.250 0.750 0.250
Ni3 0.750 0.250 0.250
Ni4 0.750 0.750 0.750
Hg1 0.250 0.250 0.250
Hg2 0.250 0.750 0.750
Hg3 0.750 0.250 0.750
Hg4 0.750 0.750 0.250
B1 0.000 0.000 0.500
B2 0.000 0.500 0.000
B3 0.500 0.000 0.000
B4 0.500 0.500 0.500

Values from the calculation:
Calculated volume = 15.7 Å³/atom
Space-group type = F-43m

Relative energy of each structure, in eV/atom: model a 0.000; model b 0.361.